[1]
Computed, not measured: a geometry-optimized Tb3ScTl4Te8 structure at the GGA-PBE level of DFT.

Computed properties:
Crystal system: trigonal
Space-group type: R-3m

Unit cell a=9.636 b=9.636 c=9.636 alpha=54.54 beta=54.54 gamma=54.54
Positions (direct):
Tb1 0.000 0.500 0.500
Tb2 0.500 0.000 0.500
Tb3 0.500 0.500 0.000
Sc1 0.000 0.000 0.000
Tl1 0.000 0.000 0.500
Tl2 0.000 0.500 0.000
Tl3 0.500 0.000 0.000
Tl4 0.500 0.500 0.500
Te1 0.231 0.231 0.748
Te2 0.231 0.748 0.231
Te3 0.252 0.769 0.769
Te4 0.261 0.261 0.261
Te5 0.739 0.739 0.739
Te6 0.748 0.231 0.231
Te7 0.769 0.252 0.769
Te8 0.769 0.769 0.252

***

[2]
Computed, not measured: a geometry-optimized KDySnI6 structure at the GGA-PBE level of DFT.

Computed properties:
Crystal system: trigonal
Space-group type: P-31c

Unit cell a=8.059 b=8.059 c=15.462 alpha=90.00 beta=90.00 gamma=120.00
Positions (direct):
K1 0.000 0.000 0.000
K2 0.000 0.000 0.500
Dy1 0.333 0.667 0.250
Dy2 0.667 0.333 0.750
Sn1 0.333 0.667 0.750
Sn2 0.667 0.333 0.250
I1 0.015 0.373 0.135
I2 0.015 0.642 0.365
I3 0.358 0.373 0.365
I4 0.358 0.985 0.135
I5 0.373 0.015 0.635
I6 0.373 0.358 0.865
I7 0.627 0.642 0.135
I8 0.627 0.985 0.365
I9 0.642 0.015 0.865
I10 0.642 0.627 0.635
I11 0.985 0.358 0.635
I12 0.985 0.627 0.865

***

[3]
Computed, not measured: a geometry-optimized Cs2LiAlCl6 structure at the GGA-PBE level of DFT.

Computed properties:
Crystal system: trigonal
Space-group type: P-3m1

Unit cell a=7.374 b=7.374 c=6.151 alpha=90.00 beta=90.00 gamma=120.00
Positions (direct):
Cs1 0.333 0.667 0.257
Cs2 0.667 0.333 0.743
Li1 0.000 0.000 0.000
Al1 0.000 0.000 0.500
Cl1 0.149 0.298 0.725
Cl2 0.149 0.851 0.725
Cl3 0.298 0.149 0.275
Cl4 0.702 0.851 0.725
Cl5 0.851 0.149 0.275
Cl6 0.851 0.702 0.275

***

[4]
Computed, not measured: a geometry-optimized Li2AcPmTe4 structure at the GGA-PBE level of DFT.

Computed properties:
Crystal system: monoclinic
Space-group type: P2/m

Unit cell a=7.591 b=4.561 c=7.916 alpha=90.00 beta=110.28 gamma=90.00
Positions (direct):
Li1 0.000 0.000 0.000
Li2 0.000 0.500 0.500
Ac1 0.500 0.000 0.500
Pm1 0.500 0.500 0.000
Te1 0.232 0.500 0.232
Te2 0.238 0.000 0.757
Te3 0.762 0.000 0.243
Te4 0.768 0.500 0.768

***

no.,uncorrected formation energy (eV per atom),M_tot (μB per cell)
1,-1.02,0.00
2,-1.12,0.00
3,-1.83,0.00
4,-1.31,0.00